1.
The following is a DFT calculation (GGA-PBE) of Tl2Cr3Cl8 after structural relaxation.

CIF file:
```
data_Tl2Cr3Cl8
_chemical_formula_sum 'Tl2 Cr3 Cl8'
_symmetry_space_group_name_H-M 'P 1'
_symmetry_Int_Tables_number 1
_cell_length_a 7.891
_cell_length_b 7.081
_cell_length_c 7.848
_cell_angle_alpha 116.82
_cell_angle_beta 102.94
_cell_angle_gamma 90.00
loop_
_symmetry_equiv_pos_as_xyz
'x,y,z'
loop_
_atom_site_label
_atom_site_type_symbol
_atom_site_fract_x
_atom_site_fract_y
_atom_site_fract_z
_atom_site_occupancy
Tl1 Tl 0.658 0.721 0.441 1
Tl2 Tl 0.342 0.279 0.559 1
Cr1 Cr 0.500 0.000 0.000 1
Cr2 Cr 0.000 0.250 0.000 1
Cr3 Cr 0.000 0.750 0.000 1
Cl1 Cl 0.017 0.388 0.776 1
Cl2 Cl 0.983 0.612 0.224 1
Cl3 Cl 0.045 0.892 0.785 1
Cl4 Cl 0.955 0.108 0.215 1
Cl5 Cl 0.382 0.852 0.172 1
Cl6 Cl 0.382 0.319 0.172 1
Cl7 Cl 0.618 0.681 0.828 1
Cl8 Cl 0.618 0.148 0.828 1
```

## Properties
- Magnetization: 0.92 μB/atom
- VASP energy: -4.678 eV per atom
- Space-group type: C2/m, No. 12
- Calculated density: 3.7 Mg/m³

2.
The following is a DFT calculation (GGA-PBE) of Rb3Tb2ZrS6 after structural relaxation.

CIF file:
```
data_Rb3Tb2ZrS6
_chemical_formula_sum 'Rb3 Tb2 Zr1 S6'
_symmetry_space_group_name_H-M 'P 1'
_symmetry_Int_Tables_number 1
_cell_length_a 6.915
_cell_length_b 6.915
_cell_length_c 8.045
_cell_angle_alpha 98.25
_cell_angle_beta 98.25
_cell_angle_gamma 120.00
loop_
_symmetry_equiv_pos_as_xyz
'x,y,z'
loop_
_atom_site_label
_atom_site_type_symbol
_atom_site_fract_x
_atom_site_fract_y
_atom_site_fract_z
_atom_site_occupancy
Rb1 Rb 0.169 0.831 0.500 1
Rb2 Rb 0.831 0.169 0.500 1
Rb3 Rb 0.500 0.500 0.500 1
Tb1 Tb 0.334 0.666 0.000 1
Tb2 Tb 0.666 0.334 0.000 1
Zr1 Zr 0.000 0.000 0.000 1
S1 S 0.936 0.617 0.808 1
S2 S 0.745 0.745 0.193 1
S3 S 0.064 0.383 0.192 1
S4 S 0.617 0.936 0.808 1
S5 S 0.255 0.255 0.807 1
S6 S 0.383 0.064 0.192 1
```

## Properties
- Magnetization: 0.00 μB/atom
- VASP energy: -5.483 eV per atom
- Space-group type: C2/m, No. 12
- Calculated density: 4.5 Mg/m³

3.
The following is a DFT calculation (GGA-PBE) of Ca2Ac5Nd2 after structural relaxation.

CIF file:
```
data_Ca2Ac5Nd2
_chemical_formula_sum 'Ca4 Ac10 Nd4'
_symmetry_space_group_name_H-M 'P 1'
_symmetry_Int_Tables_number 1
_cell_length_a 8.445
_cell_length_b 8.348
_cell_length_c 12.233
_cell_angle_alpha 109.95
_cell_angle_beta 90.00
_cell_angle_gamma 90.00
loop_
_symmetry_equiv_pos_as_xyz
'x,y,z'
loop_
_atom_site_label
_atom_site_type_symbol
_atom_site_fract_x
_atom_site_fract_y
_atom_site_fract_z
_atom_site_occupancy
Ca1 Ca 0.000 0.237 0.474 1
Ca2 Ca 0.500 0.737 0.474 1
Ca3 Ca 0.000 0.763 0.526 1
Ca4 Ca 0.500 0.263 0.526 1
Ac1 Ac 0.000 0.000 0.000 1
Ac2 Ac 0.500 0.500 0.000 1
Ac3 Ac 0.821 0.800 0.240 1
Ac4 Ac 0.179 0.440 0.240 1
Ac5 Ac 0.321 0.940 0.240 1
Ac6 Ac 0.679 0.300 0.240 1
Ac7 Ac 0.179 0.200 0.760 1
Ac8 Ac 0.821 0.560 0.760 1
Ac9 Ac 0.679 0.060 0.760 1
Ac10 Ac 0.321 0.700 0.760 1
Nd1 Nd 0.631 0.872 0.000 1
Nd2 Nd 0.369 0.128 0.000 1
Nd3 Nd 0.131 0.628 0.000 1
Nd4 Nd 0.869 0.372 0.000 1
```

## Properties
- Polymorph energy (0 for the lowest one): 0.1072 eV per atom
- Magnetization: 0.00 μB/atom
- Formation enthalpy at 0 K: 199.8 meV/atom
- Space-group type: Cmce, No. 64
- Calculated density: 6.2 Mg/m³

4.
The following is a DFT calculation (GGA-PBE) of PmEuMg4 after structural relaxation.

CIF file:
```
data_PmEuMg4
_chemical_formula_sum 'Pm1 Eu1 Mg4'
_symmetry_space_group_name_H-M 'P 1'
_symmetry_Int_Tables_number 1
_cell_length_a 6.188
_cell_length_b 6.188
_cell_length_c 6.188
_cell_angle_alpha 60.00
_cell_angle_beta 60.00
_cell_angle_gamma 60.00
loop_
_symmetry_equiv_pos_as_xyz
'x,y,z'
loop_
_atom_site_label
_atom_site_type_symbol
_atom_site_fract_x
_atom_site_fract_y
_atom_site_fract_z
_atom_site_occupancy
Eu1 Eu 0.250 0.250 0.250 1
Mg1 Mg 0.626 0.626 0.123 1
Mg2 Mg 0.626 0.123 0.626 1
Mg3 Mg 0.626 0.626 0.626 1
Mg4 Mg 0.123 0.626 0.626 1
Pm1 Pm 0.000 0.000 0.000 1
```

## Properties
- Magnetization: 1.19 μB/atom
- Formation enthalpy at 0 K: -96.8 meV/atom
- Space-group type: F-43m, No. 216
- Calculated density: 3.9 Mg/m³

5.
The following is a DFT calculation (GGA-PBE) of ZnCr2Ru after structural relaxation.

CIF file:
```
data_ZnCr2Ru
_chemical_formula_sum 'Zn1 Cr2 Ru1'
_symmetry_space_group_name_H-M 'P 1'
_symmetry_Int_Tables_number 1
_cell_length_a 2.601
_cell_length_b 2.601
_cell_length_c 8.306
_cell_angle_alpha 90.00
_cell_angle_beta 90.00
_cell_angle_gamma 112.12
loop_
_symmetry_equiv_pos_as_xyz
'x,y,z'
loop_
_atom_site_label
_atom_site_type_symbol
_atom_site_fract_x
_atom_site_fract_y
_atom_site_fract_z
_atom_site_occupancy
Cr1 Cr 0.000 0.000 0.019 1
Cr2 Cr 0.500 0.500 0.238 1
Ru1 Ru 0.000 0.000 0.486 1
Zn1 Zn 0.500 0.500 0.757 1
```

## Properties
- Magnetization: 0.00 μB/atom
- Formation enthalpy at 0 K: 170.1 meV/atom
- Space-group type: Cmm2, No. 35
- Calculated density: 8.6 Mg/m³

6.
The following is a DFT calculation (GGA-PBE) of DyAl2Co after structural relaxation.

CIF file:
```
data_DyAl2Co
_chemical_formula_sum 'Dy1 Al2 Co1'
_symmetry_space_group_name_H-M 'P 1'
_symmetry_Int_Tables_number 1
_cell_length_a 3.179
_cell_length_b 3.179
_cell_length_c 8.650
_cell_angle_alpha 79.41
_cell_angle_beta 79.41
_cell_angle_gamma 60.00
loop_
_symmetry_equiv_pos_as_xyz
'x,y,z'
loop_
_atom_site_label
_atom_site_type_symbol
_atom_site_fract_x
_atom_site_fract_y
_atom_site_fract_z
_atom_site_occupancy
Co1 Co 0.000 0.000 0.000 1
Al1 Al 0.730 0.730 0.809 1
Al2 Al 0.270 0.270 0.191 1
Dy1 Dy 0.500 0.500 0.500 1
```

## Properties
- Magnetization: 0.00 μB/atom
- Formation enthalpy at 0 K: 7.7 meV/atom
- Space-group type: R-3m, No. 166
- Calculated density: 6.2 Mg/m³

7.
The following is a DFT calculation (GGA-PBE) of Sr2PrBi3 after structural relaxation.

CIF file:
```
data_Sr2PrBi3
_chemical_formula_sum 'Sr2 Pr1 Bi3'
_symmetry_space_group_name_H-M 'P 1'
_symmetry_Int_Tables_number 1
_cell_length_a 4.419
_cell_length_b 6.756
_cell_length_c 8.695
_cell_angle_alpha 112.86
_cell_angle_beta 104.72
_cell_angle_gamma 90.00
loop_
_symmetry_equiv_pos_as_xyz
'x,y,z'
loop_
_atom_site_label
_atom_site_type_symbol
_atom_site_fract_x
_atom_site_fract_y
_atom_site_fract_z
_atom_site_occupancy
Sr1 Sr 0.673 0.173 0.346 1
Sr2 Sr 0.327 0.827 0.654 1
Pr1 Pr 0.000 0.500 0.000 1
Bi1 Bi 0.344 0.344 0.688 1
Bi2 Bi 0.000 0.000 0.000 1
Bi3 Bi 0.656 0.656 0.312 1
```

## Properties
- Magnetization: 0.00 μB/atom
- Formation enthalpy at 0 K: -727.6 meV/atom
- Space-group type: Immm, No. 71
- Calculated density: 6.8 Mg/m³

8.
The following is a DFT calculation (GGA-PBE) of Li2TmMg10 after structural relaxation.

CIF file:
```
data_Li2TmMg10
_chemical_formula_sum 'Li2 Tm1 Mg10'
_symmetry_space_group_name_H-M 'P 1'
_symmetry_Int_Tables_number 1
_cell_length_a 5.647
_cell_length_b 7.764
_cell_length_c 7.767
_cell_angle_alpha 82.48
_cell_angle_beta 68.45
_cell_angle_gamma 68.97
loop_
_symmetry_equiv_pos_as_xyz
'x,y,z'
loop_
_atom_site_label
_atom_site_type_symbol
_atom_site_fract_x
_atom_site_fract_y
_atom_site_fract_z
_atom_site_occupancy
Li1 Li 0.000 0.500 0.000 1
Li2 Li 0.500 0.500 0.000 1
Tm1 Tm 0.000 0.000 0.000 1
Mg1 Mg 0.349 0.643 0.658 1
Mg2 Mg 0.651 0.357 0.342 1
Mg3 Mg 0.994 0.357 0.658 1
Mg4 Mg 0.006 0.643 0.342 1
Mg5 Mg 0.000 0.000 0.500 1
Mg6 Mg 0.500 0.000 0.500 1
Mg7 Mg 0.291 0.216 0.205 1
Mg8 Mg 0.709 0.784 0.795 1
Mg9 Mg 0.506 0.784 0.206 1
Mg10 Mg 0.494 0.216 0.794 1
```

## Properties
- Magnetization: 0.00 μB/atom
- Formation enthalpy at 0 K: -9.2 meV/atom
- Space-group type: P-1, No. 2
- Calculated density: 2.4 Mg/m³

9.
The following is a DFT calculation (GGA-PBE) of TeBrO2 after structural relaxation.

CIF file:
```
data_TeBrO2
_chemical_formula_sum 'Te1 Br1 O2'
_symmetry_space_group_name_H-M 'P 1'
_symmetry_Int_Tables_number 1
_cell_length_a 7.708
_cell_length_b 7.708
_cell_length_c 7.708
_cell_angle_alpha 24.96
_cell_angle_beta 24.96
_cell_angle_gamma 24.96
loop_
_symmetry_equiv_pos_as_xyz
'x,y,z'
loop_
_atom_site_label
_atom_site_type_symbol
_atom_site_fract_x
_atom_site_fract_y
_atom_site_fract_z
_atom_site_occupancy
Te1 Te 0.000 0.000 0.000 1
O1 O 0.913 0.913 0.913 1
O2 O 0.087 0.087 0.087 1
Br1 Br 0.500 0.500 0.500 1
```

## Properties
- Polymorph energy (0 for the lowest one): 1.0651 eV per atom
- Magnetization: 0.27 μB/atom
- Space-group type: R-3m, No. 166
- Calculated density: 5.5 Mg/m³

10.
The following is a DFT calculation (GGA-PBE) of ZrMnRu after structural relaxation.

CIF file:
```
data_ZrMnRu
_chemical_formula_sum 'Zr2 Mn2 Ru2'
_symmetry_space_group_name_H-M 'P 1'
_symmetry_Int_Tables_number 1
_cell_length_a 3.255
_cell_length_b 4.438
_cell_length_c 7.070
_cell_angle_alpha 90.00
_cell_angle_beta 103.31
_cell_angle_gamma 90.00
loop_
_symmetry_equiv_pos_as_xyz
'x,y,z'
loop_
_atom_site_label
_atom_site_type_symbol
_atom_site_fract_x
_atom_site_fract_y
_atom_site_fract_z
_atom_site_occupancy
Ru1 Ru 0.584 0.250 0.168 1
Ru2 Ru 0.416 0.750 0.832 1
Zr1 Zr 0.912 0.250 0.824 1
Zr2 Zr 0.088 0.750 0.176 1
Mn1 Mn 0.237 0.250 0.475 1
Mn2 Mn 0.763 0.750 0.525 1
```

## Properties
- Polymorph energy (0 for the lowest one): 0.0000 eV per atom
- Magnetization: 1.11 μB/atom
- Formation enthalpy at 0 K: -205.4 meV/atom
- Space-group type: Cmcm, No. 63
- Calculated density: 8.3 Mg/m³

11.
The following is a DFT calculation (GGA-PBE) of KTcNi after structural relaxation.

CIF file:
```
data_KTcNi
_chemical_formula_sum 'K2 Tc2 Ni2'
_symmetry_space_group_name_H-M 'P 1'
_symmetry_Int_Tables_number 1
_cell_length_a 5.915
_cell_length_b 5.915
_cell_length_c 8.936
_cell_angle_alpha 90.00
_cell_angle_beta 90.00
_cell_angle_gamma 120.00
loop_
_symmetry_equiv_pos_as_xyz
'x,y,z'
loop_
_atom_site_label
_atom_site_type_symbol
_atom_site_fract_x
_atom_site_fract_y
_atom_site_fract_z
_atom_site_occupancy
Ni1 Ni 0.000 0.000 0.000 1
Ni2 Ni 0.000 0.000 0.500 1
K1 K 0.333 0.667 0.250 1
K2 K 0.667 0.333 0.750 1
Tc1 Tc 0.000 0.000 0.250 1
Tc2 Tc 0.000 0.000 0.750 1
```

## Properties
- Polymorph energy (0 for the lowest one): 1.4596 eV per atom
- Magnetization: 1.20 μB/atom
- Formation enthalpy at 0 K: 1884.8 meV/atom
- Space-group type: P6_3/mmc, No. 194
- Calculated density: 2.4 Mg/m³

12.
The following is a DFT calculation (GGA-PBE) of Tb7Pm5 after structural relaxation.

CIF file:
```
data_Tb7Pm5
_chemical_formula_sum 'Tb7 Pm5'
_symmetry_space_group_name_H-M 'P 1'
_symmetry_Int_Tables_number 1
_cell_length_a 3.614
_cell_length_b 9.549
_cell_length_c 12.205
_cell_angle_alpha 73.77
_cell_angle_beta 81.49
_cell_angle_gamma 79.09
loop_
_symmetry_equiv_pos_as_xyz
'x,y,z'
loop_
_atom_site_label
_atom_site_type_symbol
_atom_site_fract_x
_atom_site_fract_y
_atom_site_fract_z
_atom_site_occupancy
Tb1 Tb 0.638 0.973 0.751 1
Tb2 Tb 0.362 0.027 0.249 1
Tb3 Tb 0.028 0.695 0.250 1
Tb4 Tb 0.972 0.305 0.750 1
Tb5 Tb 0.334 0.334 0.998 1
Tb6 Tb 0.500 0.500 0.500 1
Tb7 Tb 0.666 0.666 0.002 1
Pm1 Pm 0.834 0.833 0.498 1
Pm2 Pm 0.166 0.167 0.502 1
Pm3 Pm 0.695 0.361 0.249 1
Pm4 Pm 0.305 0.639 0.751 1
Pm5 Pm 0.000 0.000 0.000 1
```

## Properties
- Polymorph energy (0 for the lowest one): 0.0000 eV per atom
- Magnetization: 0.00 μB/atom
- Formation enthalpy at 0 K: 2.5 meV/atom
- Space-group type: C2/m, No. 12
- Calculated density: 7.7 Mg/m³

- Look up the magnetization of the third one.
  0.00 μB/atom

- Look up the magnetization of the seventh one.
  0.00 μB/atom

- What is the magnetization in the eleventh record?
  1.20 μB/atom

- Which of these has the highest magnetization?
  KTcNi